<1>
The following is a GGA-PBEsol calculation of a geometry-optimized MgTlSe2N structure, from Alexandria.

Calculated values
* total magnetic moment: 1.9 μB/cell

Cell lengths 5.391, 5.391, 4.174 Å; angles 90.00, 90.00, 90.00 degrees
Space group P4/mmm (No. 123)
Asymmetric unit:
Mg 0.000 0.000 0.000
Tl 0.500 0.500 0.500
Se 0.000 0.500 0.500
N 0.500 0.500 0.000



<2>
The following is a GGA-PBEsol calculation of a geometry-optimized MgTlSe2N structure, from Alexandria.

Calculated values
* total magnetic moment: 2.6 μB/cell

Cell lengths 5.210, 5.210, 4.018 Å; angles 90.00, 90.00, 90.00 degrees
Space group P4/mmm (No. 123)
Asymmetric unit:
Mg 0.000 0.000 0.000
Tl 0.500 0.500 0.500
Se 0.000 0.500 0.000
N 0.000 0.000 0.500



Stability verdict: <2>, ahead by 33.1 kJ/mol of atoms